# 1
# TbTm7Sc4 PBE optimized geometry
data_TbTm7Sc4
_chemical_formula_sum 'Tb2 Tm14 Sc8'
_space_group_name_H-M_alt 'C 1 2/m 1'
_space_group_IT_number 12
_space_group_name_Hall '-C 2y'
_cell_length_a 15.412
_cell_length_b 5.668
_cell_length_c 9.369
_cell_angle_alpha 90.00
_cell_angle_beta 121.70
_cell_angle_gamma 90.00
loop_
_atom_site_label
_atom_site_fract_x
_atom_site_fract_y
_atom_site_fract_z
Tb1 0.000 0.000 0.000
Tm1 0.000 0.500 0.000
Tm2 0.086 0.000 0.441
Tm3 0.207 0.000 0.880
Tm4 0.247 0.000 0.282
Sc1 0.052 0.500 0.704
Sc2 0.171 0.500 0.346
# N(E_F) ... 1.64 states/eV/atom
# Crystal system ... monoclinic
# Magnetization ... 1.0 μB per cell
# Energy above the lowest structure with this stoichiometry ... 0.2401 eV/atom

---

# 2
# Tb4Tm5Sc PBE optimized geometry
data_Tb4Tm5Sc
_chemical_formula_sum 'Tb8 Tm10 Sc2'
_space_group_name_H-M_alt 'C 1 2/m 1'
_space_group_IT_number 12
_space_group_name_Hall '-C 2y'
_cell_length_a 18.141
_cell_length_b 3.501
_cell_length_c 9.876
_cell_angle_alpha 90.00
_cell_angle_beta 105.98
_cell_angle_gamma 90.00
loop_
_atom_site_label
_atom_site_fract_x
_atom_site_fract_y
_atom_site_fract_z
Tb1 0.098 0.000 0.296
Tb2 0.200 0.500 0.100
Tm1 0.000 0.500 0.500
Tm2 0.098 0.000 0.802
Tm3 0.199 0.500 0.600
Sc1 0.000 0.500 0.000
# N(E_F) ... 1.29 states/eV/atom
# Crystal system ... monoclinic
# Magnetization ... 0.0 μB per cell
# Energy above the lowest structure with this stoichiometry ... 0.0000 eV/atom

---

# 3
# Tb7Tm3Sc PBE optimized geometry
data_Tb7Tm3Sc
_chemical_formula_sum 'Tb28 Tm12 Sc4'
_space_group_name_H-M_alt 'C 1 2/m 1'
_space_group_IT_number 12
_space_group_name_Hall '-C 2y'
_cell_length_a 6.894
_cell_length_b 18.125
_cell_length_c 11.079
_cell_angle_alpha 90.00
_cell_angle_beta 90.29
_cell_angle_gamma 90.00
loop_
_atom_site_label
_atom_site_fract_x
_atom_site_fract_y
_atom_site_fract_z
Tb1 0.248 0.000 0.250
Tb2 0.248 0.340 0.529
Tb3 0.249 0.160 0.029
Tb4 0.249 0.414 0.250
Tm1 0.000 0.000 0.500
Tm2 0.000 0.250 0.250
Tm3 0.000 0.500 0.000
Sc1 0.000 0.000 0.000
Sc2 0.000 0.500 0.500
# N(E_F) ... 1.58 states/eV/atom
# Crystal system ... monoclinic
# Magnetization ... 0.0 μB per cell
# Energy above the lowest structure with this stoichiometry ... 0.0000 eV/atom

---

# 4
# TbTm2Sc PBE optimized geometry
data_TbTm2Sc
_chemical_formula_sum 'Tb1 Tm2 Sc1'
_space_group_name_H-M_alt 'P 4/m m m'
_space_group_IT_number 123
_space_group_name_Hall '-P 4 2'
_cell_length_a 4.868
_cell_length_b 4.868
_cell_length_c 4.899
_cell_angle_alpha 90.00
_cell_angle_beta 90.00
_cell_angle_gamma 90.00
loop_
_atom_site_label
_atom_site_fract_x
_atom_site_fract_y
_atom_site_fract_z
Tb1 0.000 0.000 0.000
Tm1 0.000 0.500 0.500
Sc1 0.500 0.500 0.000
# N(E_F) ... 1.61 states/eV/atom
# Crystal system ... tetragonal
# Magnetization ... 0.0 μB per cell
# Energy above the lowest structure with this stoichiometry ... 0.0296 eV/atom